# RhC

An optimized crystal structure of RhC (PBE, Alexandria via LeMat-Bulk).

Cell lengths 5.647, 5.647, 5.647 Å; angles 90.00, 90.00, 90.00 degrees
Fractional coordinates of all 12 atoms:
Rh (0.000, 0.250, 0.500)
Rh (0.000, 0.750, 0.500)
Rh (0.250, 0.500, 0.000)
Rh (0.500, 0.000, 0.250)
Rh (0.500, 0.000, 0.750)
Rh (0.750, 0.500, 0.000)
C (0.000, 0.500, 0.250)
C (0.000, 0.500, 0.750)
C (0.250, 0.000, 0.500)
C (0.500, 0.250, 0.000)
C (0.500, 0.750, 0.000)
C (0.750, 0.000, 0.500)

## Properties
SG   Pm-3n (223)
Spin magnetization   0.00 μB/cell
Calculated formation energy   0.78 eV/atom
Final energy   -90.1 eV/cell